# Ho2Sc2Tl

A relaxed structure of Ho2Sc2Tl (PBE, Alexandria via LeMat-Bulk).

Values from the calculation:
* energy of formation: -0.005 eV/atom
* crystal system: monoclinic
* polymorph energy (0 for the lowest one): 0 meV/atom

Geometry as CIF:
```
data_Ho2Sc2Tl
_chemical_formula_sum 'Ho4 Sc4 Tl2'
_symmetry_space_group_name_H-M 'P 1'
_symmetry_Int_Tables_number 1
_cell_length_a 7.764
_cell_length_b 6.240
_cell_length_c 8.198
_cell_angle_alpha 73.57
_cell_angle_beta 62.96
_cell_angle_gamma 51.53
loop_
_symmetry_equiv_pos_as_xyz
'x,y,z'
loop_
_atom_site_label
_atom_site_type_symbol
_atom_site_fract_x
_atom_site_fract_y
_atom_site_fract_z
Ho1 Ho 0.004 0.633 0.711
Ho2 Ho 0.363 0.633 0.289
Ho3 Ho 0.637 0.367 0.711
Ho4 Ho 0.996 0.367 0.289
Sc1 Sc 0.257 0.000 0.591
Sc2 Sc 0.743 0.000 0.409
Sc3 Sc 0.399 0.000 0.879
Sc4 Sc 0.601 0.000 0.121
Tl1 Tl 0.157 0.686 0.000
Tl2 Tl 0.843 0.314 0.000
```

***

# Ho7ScTl4

A relaxed structure of Ho7ScTl4 (PBE, Alexandria via LeMat-Bulk).

Values from the calculation:
* energy of formation: -0.009 eV/atom
* crystal system: monoclinic

Geometry as CIF:
```
data_Ho7ScTl4
_chemical_formula_sum 'Ho7 Sc1 Tl4'
_symmetry_space_group_name_H-M 'P 1'
_symmetry_Int_Tables_number 1
_cell_length_a 5.674
_cell_length_b 9.032
_cell_length_c 7.993
_cell_angle_alpha 69.06
_cell_angle_beta 69.21
_cell_angle_gamma 71.69
loop_
_symmetry_equiv_pos_as_xyz
'x,y,z'
loop_
_atom_site_label
_atom_site_type_symbol
_atom_site_fract_x
_atom_site_fract_y
_atom_site_fract_z
Tl1 Tl 0.316 0.341 0.026
Tl2 Tl 0.684 0.659 0.974
Tl3 Tl 0.551 0.290 0.608
Tl4 Tl 0.449 0.710 0.392
Ho1 Ho 0.069 0.594 0.269
Ho2 Ho 0.931 0.406 0.731
Ho3 Ho 0.204 0.120 0.473
Ho4 Ho 0.750 0.292 0.208
Ho5 Ho 0.250 0.708 0.792
Ho6 Ho 0.500 0.000 0.000
Ho7 Ho 0.796 0.880 0.527
Sc1 Sc 0.000 0.000 0.000
```

***

# Ho3ScTl2

A relaxed structure of Ho3ScTl2 (PBE, Alexandria via LeMat-Bulk).

Values from the calculation:
* energy of formation: -0.219 eV/atom
* crystal system: orthorhombic

Geometry as CIF:
```
data_Ho3ScTl2
_chemical_formula_sum 'Ho6 Sc2 Tl4'
_symmetry_space_group_name_H-M 'P 1'
_symmetry_Int_Tables_number 1
_cell_length_a 6.417
_cell_length_b 6.409
_cell_length_c 9.350
_cell_angle_alpha 110.04
_cell_angle_beta 110.07
_cell_angle_gamma 90.00
loop_
_symmetry_equiv_pos_as_xyz
'x,y,z'
loop_
_atom_site_label
_atom_site_type_symbol
_atom_site_fract_x
_atom_site_fract_y
_atom_site_fract_z
Sc1 Sc 0.000 0.250 0.000
Sc2 Sc 0.000 0.750 0.000
Tl1 Tl 0.108 0.366 0.732
Tl2 Tl 0.623 0.866 0.732
Tl3 Tl 0.377 0.134 0.268
Tl4 Tl 0.892 0.634 0.268
Ho1 Ho 0.928 0.176 0.351
Ho2 Ho 0.500 0.750 0.000
Ho3 Ho 0.072 0.824 0.649
Ho4 Ho 0.423 0.676 0.351
Ho5 Ho 0.577 0.324 0.649
Ho6 Ho 0.500 0.250 0.000
```

***

# Ho5Sc4Tl4

A relaxed structure of Ho5Sc4Tl4 (PBE, Alexandria via LeMat-Bulk).

Values from the calculation:
* energy of formation: -0.243 eV/atom
* crystal system: tetragonal

Geometry as CIF:
```
data_Ho5Sc4Tl4
_chemical_formula_sum 'Ho5 Sc4 Tl4'
_symmetry_space_group_name_H-M 'P 1'
_symmetry_Int_Tables_number 1
_cell_length_a 4.806
_cell_length_b 8.880
_cell_length_c 8.880
_cell_angle_alpha 85.80
_cell_angle_beta 74.30
_cell_angle_gamma 74.30
loop_
_symmetry_equiv_pos_as_xyz
'x,y,z'
loop_
_atom_site_label
_atom_site_type_symbol
_atom_site_fract_x
_atom_site_fract_y
_atom_site_fract_z
Sc1 Sc 0.586 0.317 0.511
Sc2 Sc 0.903 0.511 0.683
Sc3 Sc 0.097 0.489 0.317
Sc4 Sc 0.414 0.683 0.489
Ho1 Ho 0.692 0.918 0.698
Ho2 Ho 0.000 0.000 0.000
Ho3 Ho 0.390 0.302 0.918
Ho4 Ho 0.610 0.698 0.082
Ho5 Ho 0.308 0.082 0.302
Tl1 Tl 0.755 0.330 0.160
Tl2 Tl 0.915 0.840 0.330
Tl3 Tl 0.085 0.160 0.670
Tl4 Tl 0.245 0.670 0.840
```

***

# Ho4ScTl7

A relaxed structure of Ho4ScTl7 (PBE, Alexandria via LeMat-Bulk).

Values from the calculation:
* energy of formation: -0.092 eV/atom
* crystal system: monoclinic

Geometry as CIF:
```
data_Ho4ScTl7
_chemical_formula_sum 'Ho4 Sc1 Tl7'
_symmetry_space_group_name_H-M 'P 1'
_symmetry_Int_Tables_number 1
_cell_length_a 5.482
_cell_length_b 9.758
_cell_length_c 7.428
_cell_angle_alpha 79.67
_cell_angle_beta 68.34
_cell_angle_gamma 73.69
loop_
_symmetry_equiv_pos_as_xyz
'x,y,z'
loop_
_atom_site_label
_atom_site_type_symbol
_atom_site_fract_x
_atom_site_fract_y
_atom_site_fract_z
Tl1 Tl 0.500 0.000 0.000
Tl2 Tl 0.085 0.679 0.152
Tl3 Tl 0.915 0.321 0.848
Tl4 Tl 0.632 0.456 0.279
Tl5 Tl 0.787 0.897 0.528
Tl6 Tl 0.213 0.103 0.472
Tl7 Tl 0.368 0.544 0.721
Ho1 Ho 0.581 0.218 0.621
Ho2 Ho 0.282 0.325 0.111
Ho3 Ho 0.718 0.675 0.889
Ho4 Ho 0.419 0.782 0.379
Sc1 Sc 0.000 0.000 0.000
```

***

# Ho12Sc5Tl2

A relaxed structure of Ho12Sc5Tl2 (PBE, Alexandria via LeMat-Bulk).

Values from the calculation:
* energy of formation: 0.051 eV/atom
* crystal system: monoclinic

Geometry as CIF:
```
data_Ho12Sc5Tl2
_chemical_formula_sum 'Ho12 Sc5 Tl2'
_symmetry_space_group_name_H-M 'P 1'
_symmetry_Int_Tables_number 1
_cell_length_a 9.092
_cell_length_b 8.690
_cell_length_c 8.182
_cell_angle_alpha 90.93
_cell_angle_beta 90.00
_cell_angle_gamma 121.54
loop_
_symmetry_equiv_pos_as_xyz
'x,y,z'
loop_
_atom_site_label
_atom_site_type_symbol
_atom_site_fract_x
_atom_site_fract_y
_atom_site_fract_z
Ho1 Ho 0.555 0.110 0.322
Ho2 Ho 0.423 0.248 0.650
Ho3 Ho 0.445 0.890 0.678
Ho4 Ho 0.092 0.184 0.884
Ho5 Ho 0.824 0.248 0.650
Ho6 Ho 0.176 0.752 0.350
Ho7 Ho 0.968 0.308 0.237
Ho8 Ho 0.660 0.692 0.763
Ho9 Ho 0.032 0.692 0.763
Ho10 Ho 0.340 0.308 0.237
Ho11 Ho 0.908 0.816 0.116
Ho12 Ho 0.577 0.752 0.350
Tl1 Tl 0.684 0.000 0.000
Tl2 Tl 0.316 0.000 0.000
Sc1 Sc 0.314 0.629 0.997
Sc2 Sc 0.686 0.371 0.003
Sc3 Sc 0.765 0.529 0.418
Sc4 Sc 0.000 0.000 0.500
Sc5 Sc 0.235 0.471 0.582
```

***

# Ho9ScTl2

A relaxed structure of Ho9ScTl2 (PBE, Alexandria via LeMat-Bulk).

Values from the calculation:
* energy of formation: -0.107 eV/atom
* crystal system: tetragonal

Geometry as CIF:
```
data_Ho9ScTl2
_chemical_formula_sum 'Ho9 Sc1 Tl2'
_symmetry_space_group_name_H-M 'P 1'
_symmetry_Int_Tables_number 1
_cell_length_a 4.828
_cell_length_b 4.828
_cell_length_c 14.745
_cell_angle_alpha 90.00
_cell_angle_beta 90.00
_cell_angle_gamma 90.00
loop_
_symmetry_equiv_pos_as_xyz
'x,y,z'
loop_
_atom_site_label
_atom_site_type_symbol
_atom_site_fract_x
_atom_site_fract_y
_atom_site_fract_z
Ho1 Ho 0.500 0.500 0.000
Ho2 Ho 0.500 0.500 0.666
Ho3 Ho 0.500 0.000 0.167
Ho4 Ho 0.500 0.500 0.334
Ho5 Ho 0.000 0.500 0.167
Ho6 Ho 0.500 0.000 0.500
Ho7 Ho 0.500 0.000 0.833
Ho8 Ho 0.000 0.500 0.833
Ho9 Ho 0.000 0.500 0.500
Tl1 Tl 0.000 0.000 0.662
Tl2 Tl 0.000 0.000 0.338
Sc1 Sc 0.000 0.000 0.000
```

***

# Ho2Sc2Tl

A relaxed structure of Ho2Sc2Tl (PBE, Alexandria via LeMat-Bulk).

Values from the calculation:
* energy of formation: 0.062 eV/atom
* crystal system: orthorhombic
* polymorph energy (0 for the lowest one): 67 meV/atom

Geometry as CIF:
```
data_Ho2Sc2Tl
_chemical_formula_sum 'Ho4 Sc4 Tl2'
_symmetry_space_group_name_H-M 'P 1'
_symmetry_Int_Tables_number 1
_cell_length_a 4.848
_cell_length_b 9.033
_cell_length_c 6.591
_cell_angle_alpha 90.00
_cell_angle_beta 90.00
_cell_angle_gamma 90.00
loop_
_symmetry_equiv_pos_as_xyz
'x,y,z'
loop_
_atom_site_label
_atom_site_type_symbol
_atom_site_fract_x
_atom_site_fract_y
_atom_site_fract_z
Tl1 Tl 0.000 0.000 0.000
Tl2 Tl 0.000 0.500 0.500
Ho1 Ho 0.000 0.332 0.902
Ho2 Ho 0.000 0.832 0.598
Ho3 Ho 0.000 0.668 0.098
Ho4 Ho 0.000 0.168 0.402
Sc1 Sc 0.500 0.424 0.233
Sc2 Sc 0.500 0.576 0.767
Sc3 Sc 0.500 0.076 0.733
Sc4 Sc 0.500 0.924 0.267
```

***

# Ho7Sc2Tl2

A relaxed structure of Ho7Sc2Tl2 (PBE, Alexandria via LeMat-Bulk).

Values from the calculation:
* energy of formation: -0.016 eV/atom
* crystal system: orthorhombic

Geometry as CIF:
```
data_Ho7Sc2Tl2
_chemical_formula_sum 'Ho7 Sc2 Tl2'
_symmetry_space_group_name_H-M 'P 1'
_symmetry_Int_Tables_number 1
_cell_length_a 3.553
_cell_length_b 10.983
_cell_length_c 10.983
_cell_angle_alpha 51.22
_cell_angle_beta 80.69
_cell_angle_gamma 80.69
loop_
_symmetry_equiv_pos_as_xyz
'x,y,z'
loop_
_atom_site_label
_atom_site_type_symbol
_atom_site_fract_x
_atom_site_fract_y
_atom_site_fract_z
Ho1 Ho 0.500 0.042 0.958
Ho2 Ho 0.869 0.396 0.865
Ho3 Ho 0.374 0.712 0.540
Ho4 Ho 0.843 0.048 0.265
Ho5 Ho 0.131 0.135 0.604
Ho6 Ho 0.626 0.460 0.288
Ho7 Ho 0.157 0.735 0.952
Tl1 Tl 0.745 0.860 0.651
Tl2 Tl 0.255 0.349 0.140
Sc1 Sc 0.500 0.397 0.603
Sc2 Sc 0.000 0.719 0.281
```

***

# Ho5Sc2Tl5

A relaxed structure of Ho5Sc2Tl5 (PBE, Alexandria via LeMat-Bulk).

Values from the calculation:
* energy of formation: -0.181 eV/atom
* crystal system: monoclinic

Geometry as CIF:
```
data_Ho5Sc2Tl5
_chemical_formula_sum 'Ho5 Sc2 Tl5'
_symmetry_space_group_name_H-M 'P 1'
_symmetry_Int_Tables_number 1
_cell_length_a 4.848
_cell_length_b 6.305
_cell_length_c 13.277
_cell_angle_alpha 113.98
_cell_angle_beta 90.00
_cell_angle_gamma 112.61
loop_
_symmetry_equiv_pos_as_xyz
'x,y,z'
loop_
_atom_site_label
_atom_site_type_symbol
_atom_site_fract_x
_atom_site_fract_y
_atom_site_fract_z
Ho1 Ho 0.340 0.680 0.983
Ho2 Ho 0.660 0.320 0.017
Ho3 Ho 0.699 0.399 0.299
Ho4 Ho 0.301 0.601 0.701
Ho5 Ho 0.500 0.000 0.500
Sc1 Sc 0.960 0.920 0.207
Sc2 Sc 0.040 0.080 0.793
Tl1 Tl 0.851 0.702 0.558
Tl2 Tl 0.000 0.000 0.000
Tl3 Tl 0.149 0.298 0.442
Tl4 Tl 0.684 0.368 0.784
Tl5 Tl 0.316 0.632 0.216
```

***

# Ho5Sc12Tl2

A relaxed structure of Ho5Sc12Tl2 (PBE, Alexandria via LeMat-Bulk).

Values from the calculation:
* energy of formation: 0.027 eV/atom
* crystal system: monoclinic

Geometry as CIF:
```
data_Ho5Sc12Tl2
_chemical_formula_sum 'Ho5 Sc12 Tl2'
_symmetry_space_group_name_H-M 'P 1'
_symmetry_Int_Tables_number 1
_cell_length_a 8.667
_cell_length_b 8.603
_cell_length_c 7.782
_cell_angle_alpha 90.81
_cell_angle_beta 90.00
_cell_angle_gamma 120.25
loop_
_symmetry_equiv_pos_as_xyz
'x,y,z'
loop_
_atom_site_label
_atom_site_type_symbol
_atom_site_fract_x
_atom_site_fract_y
_atom_site_fract_z
Sc1 Sc 0.179 0.750 0.343
Sc2 Sc 0.090 0.180 0.894
Sc3 Sc 0.969 0.305 0.241
Sc4 Sc 0.031 0.695 0.759
Sc5 Sc 0.910 0.820 0.106
Sc6 Sc 0.429 0.250 0.657
Sc7 Sc 0.571 0.750 0.343
Sc8 Sc 0.664 0.695 0.759
Sc9 Sc 0.451 0.901 0.674
Sc10 Sc 0.549 0.099 0.326
Sc11 Sc 0.821 0.250 0.657
Sc12 Sc 0.336 0.305 0.241
Ho1 Ho 0.692 0.385 0.997
Ho2 Ho 0.000 0.000 0.500
Ho3 Ho 0.761 0.522 0.419
Ho4 Ho 0.239 0.478 0.581
Ho5 Ho 0.308 0.615 0.003
Tl1 Tl 0.305 0.000 0.000
Tl2 Tl 0.695 0.000 0.000
```

***

# HoSc4Tl2

A relaxed structure of HoSc4Tl2 (PBE, Alexandria via LeMat-Bulk).

Values from the calculation:
* energy of formation: 0.137 eV/atom
* crystal system: tetragonal

Geometry as CIF:
```
data_HoSc4Tl2
_chemical_formula_sum 'Ho1 Sc4 Tl2'
_symmetry_space_group_name_H-M 'P 1'
_symmetry_Int_Tables_number 1
_cell_length_a 4.049
_cell_length_b 4.049
_cell_length_c 11.555
_cell_angle_alpha 100.09
_cell_angle_beta 100.09
_cell_angle_gamma 90.00
loop_
_symmetry_equiv_pos_as_xyz
'x,y,z'
loop_
_atom_site_label
_atom_site_type_symbol
_atom_site_fract_x
_atom_site_fract_y
_atom_site_fract_z
Sc1 Sc 0.250 0.750 0.500
Sc2 Sc 0.862 0.862 0.723
Sc3 Sc 0.750 0.250 0.500
Sc4 Sc 0.138 0.138 0.277
Ho1 Ho 0.000 0.000 0.000
Tl1 Tl 0.416 0.416 0.833
Tl2 Tl 0.584 0.584 0.167
```

***

These records have raw total energy values of -48.4 -48.0 -52.2 -60.8 -42.3 -90.3 -53.6 -47.7 -49.6 -49.6 -103.1 -33.7 eV/cell, in the order they appear.